Entry from the Alexandria database: crystalline Ba6Sn6Se13 at its relaxed geometry (PBE).

ΔE_f (raw): -30.7 eV per formula unit
magnetic moment: 0.00 μB/f.u.
VASP energy: -4.463 eV/atom
ρ: 5195 kg/m³

a = 9.391 Å, b = 12.702 Å, c = 27.470 Å
α = 90.00°, β = 90.00°, γ = 90.00°
Sites, in units of the cell vectors:
Sn: 0.270 0.341 0.717
Sn: 0.764 0.270 0.003
Sn: 0.756 0.841 0.918
Sn: 0.753 0.848 0.633
Sn: 0.756 0.657 0.221
Sn: 0.253 0.652 0.367
Sn: 0.247 0.348 0.867
Sn: 0.747 0.152 0.133
Sn: 0.236 0.770 0.497
Sn: 0.730 0.841 0.783
Sn: 0.244 0.157 0.279
Sn: 0.724 0.668 0.365
Sn: 0.744 0.159 0.418
Sn: 0.256 0.843 0.779
Sn: 0.770 0.159 0.283
Sn: 0.256 0.659 0.082
Sn: 0.244 0.341 0.582
Sn: 0.230 0.659 0.217
Sn: 0.224 0.832 0.635
Sn: 0.264 0.230 0.997
Sn: 0.736 0.730 0.503
Sn: 0.744 0.343 0.721
Sn: 0.776 0.332 0.865
Sn: 0.276 0.168 0.135
Se: 0.990 0.813 0.873
Se: 0.746 0.552 0.711
Se: 0.492 0.825 0.717
Se: 0.752 0.461 0.377
Se: 0.490 0.687 0.127
Se: 0.008 0.175 0.217
Se: 0.532 0.821 0.864
Se: 0.252 0.444 0.376
Se: 0.250 0.532 0.547
Se: 0.538 0.815 0.566
Se: 0.992 0.675 0.283
Se: 0.748 0.944 0.124
Se: 0.033 0.830 0.713
Se: 0.750 0.032 0.953
Se: 0.967 0.330 0.787
Se: 0.011 0.312 0.933
Se: 0.752 0.056 0.624
Se: 0.748 0.539 0.877
Se: 0.744 0.537 0.543
Se: 0.010 0.313 0.627
Se: 0.750 0.968 0.453
Se: 0.248 0.961 0.123
Se: 0.255 0.243 0.501
Se: 0.962 0.185 0.066
Se: 0.989 0.812 0.567
Se: 0.248 0.556 0.876
Se: 0.511 0.188 0.067
Se: 0.246 0.948 0.289
Se: 0.968 0.179 0.364
Se: 0.745 0.743 0.999
Se: 0.254 0.052 0.789
Se: 0.755 0.257 0.499
Se: 0.756 0.463 0.043
Se: 0.244 0.963 0.457
Se: 0.508 0.325 0.783
Se: 0.747 0.951 0.289
Se: 0.462 0.315 0.934
Se: 0.467 0.170 0.213
Se: 0.754 0.448 0.211
Se: 0.247 0.549 0.711
Se: 0.753 0.049 0.789
Se: 0.038 0.685 0.434
Se: 0.468 0.321 0.636
Se: 0.533 0.670 0.287
Se: 0.256 0.037 0.957
Se: 0.032 0.679 0.136
Se: 0.510 0.187 0.373
Se: 0.489 0.688 0.433
Se: 0.250 0.468 0.047
Se: 0.245 0.757 0.001
Se: 0.252 0.039 0.623
Se: 0.253 0.451 0.211
Ba: 0.006 0.104 0.706
Ba: 0.502 0.065 0.535
Ba: 0.498 0.597 0.628
Ba: 0.998 0.935 0.035
Ba: 0.990 0.581 0.627
Ba: 0.998 0.569 0.963
Ba: 0.994 0.604 0.794
Ba: 0.998 0.903 0.372
Ba: 0.494 0.896 0.206
Ba: 0.002 0.435 0.465
Ba: 0.498 0.565 0.965
Ba: 0.502 0.097 0.872
Ba: 0.502 0.092 0.706
Ba: 0.502 0.431 0.463
Ba: 0.490 0.919 0.373
Ba: 0.510 0.419 0.127
Ba: 0.498 0.592 0.794
Ba: 0.002 0.069 0.537
Ba: 0.002 0.408 0.294
Ba: 0.498 0.931 0.037
Ba: 0.002 0.403 0.128
Ba: 0.010 0.081 0.873
Ba: 0.998 0.908 0.206
Ba: 0.506 0.396 0.294